# 1
# CoAgPt2

Crystalline CoAgPt2 at its relaxed geometry (PBE, the Alexandria database).

The value obtained for the total magnetization is 0.639 μB per atom. The calculation puts the formation energy at 0.087 eV/atom.

```
CoAgPt2
1.0
2.756 0.000 0.000
0.000 3.896 0.000
0.000 0.000 5.661
Ag Pt Co
1 2 1
Direct
0.000 0.000 0.503 Ag
0.500 0.500 0.243 Pt
0.000 0.000 0.981 Pt
0.500 0.500 0.773 Co
```

***

# 2
# Co4AgPt

Crystalline Co4AgPt at its relaxed geometry (PBE, the Alexandria database).

The value obtained for the total magnetization is 1.274 μB per atom. The calculation puts the formation energy at 0.162 eV/atom.

```
Co4AgPt
1.0
0.000 3.391 3.391
3.391 0.000 3.391
3.391 3.391 0.000
Co Ag Pt
4 1 1
Direct
0.375 0.375 0.375 Co
0.375 0.375 0.875 Co
0.875 0.375 0.375 Co
0.375 0.875 0.375 Co
0.000 0.000 0.000 Ag
0.750 0.750 0.750 Pt
```

***

# 3
# CoAgPt2

Crystalline CoAgPt2 at its relaxed geometry (PBE, the Alexandria database).

The value obtained for the total magnetization is 0.646 μB per atom. The calculation puts the formation energy at 0.092 eV/atom.

```
CoAgPt2
1.0
-4.384 -1.836 -0.682
-3.579 -2.596 1.873
-2.712 3.511 1.898
Pt Co Ag
2 1 1
Direct
0.745 0.745 0.755 Pt
0.994 0.994 0.014 Pt
0.257 0.257 0.232 Co
0.504 0.504 0.499 Ag
```

***

# 4
# CoAgPt2

Crystalline CoAgPt2 at its relaxed geometry (PBE, the Alexandria database).

The value obtained for the total magnetization is 0.590 μB per atom. The calculation puts the formation energy at 0.102 eV/atom.

```
CoAgPt2
1.0
5.411 0.002 0.001
2.647 4.719 -0.001
-3.361 -3.500 2.394
Ag Pt Co
1 2 1
Direct
0.750 0.250 0.500 Ag
0.018 0.018 0.000 Pt
0.482 0.482 0.000 Pt
0.250 0.750 0.500 Co
```

***

# 5
# CoAg2Pt

Crystalline CoAg2Pt at its relaxed geometry (PBE, the Alexandria database).

The value obtained for the total magnetization is 0.485 μB per atom. The calculation puts the formation energy at 0.367 eV/atom.

```
CoAg2Pt
1.0
-1.183 -3.400 2.657
-4.006 0.006 1.992
-3.161 -2.877 -1.323
Ag Pt Co
2 1 1
Direct
0.750 0.750 0.750 Ag
0.250 0.250 0.250 Ag
0.500 0.500 0.500 Pt
0.000 0.000 0.000 Co
```

***

# 6
# CoAg2Pt

Crystalline CoAg2Pt at its relaxed geometry (PBE, the Alexandria database).

The value obtained for the total magnetization is 0.534 μB per atom. The calculation puts the formation energy at 0.136 eV/atom.

```
CoAg2Pt
1.0
-1.884 0.899 2.972
-1.692 -2.206 -0.405
2.087 -5.739 3.059
Pt Ag Co
1 2 1
Direct
0.500 0.787 0.714 Pt
0.500 0.235 0.264 Ag
0.000 0.008 0.992 Ag
0.000 0.470 0.530 Co
```